Entry i
{"formula": "AcAlZn", "functional": "PBE", "state": "relaxed", "cell": [[0.0000, 3.5131, 3.5131], [3.5131, 0.0000, 3.5131], [3.5131, 3.5131, 0.0000]], "species": ["Ac", "Al", "Zn"], "fractional_positions": [[0.0000, 0.0000, 0.0000], [0.2500, 0.2500, 0.2500], [0.5000, 0.5000, 0.5000]]}

***

Entry ii
{"formula": "AcAlZn", "functional": "PBE", "state": "relaxed", "cell": [[0.0000, 3.4686, 3.4686], [3.4686, 0.0000, 3.4686], [3.4686, 3.4686, 0.0000]], "species": ["Ac", "Al", "Zn"], "fractional_positions": [[0.0000, 0.0000, 0.0000], [0.5000, 0.5000, 0.5000], [0.2500, 0.2500, 0.2500]]}

***

Relative to the most stable structure, the computed energies are entry i 0.166; entry ii 0.000, all in eV/atom.

***

Entry i
{"formula": "AcZrAl", "functional": "PBE", "state": "relaxed", "cell": [[0.0000, 3.6757, 3.6757], [3.6757, 0.0000, 3.6757], [3.6757, 3.6757, 0.0000]], "species": ["Ac", "Zr", "Al"], "fractional_positions": [[0.0000, 0.0000, 0.0000], [0.2500, 0.2500, 0.2500], [0.7500, 0.7500, 0.7500]]}

***

Entry ii
{"formula": "AcZrAl", "functional": "PBE", "state": "relaxed", "cell": [[0.0000, 3.5815, 3.5815], [3.5815, 0.0000, 3.5815], [3.5815, 3.5815, 0.0000]], "species": ["Ac", "Zr", "Al"], "fractional_positions": [[0.0000, 0.0000, 0.0000], [0.5000, 0.5000, 0.5000], [0.2500, 0.2500, 0.2500]]}

***

Relative to the most stable structure, the computed energies are entry i 0.755; entry ii 0.000, all in eV/atom.

***

Entry i
{"formula": "AcAsAuO", "functional": "PBE", "state": "relaxed", "cell": [[5.2147, 0.0000, 0.0000], [0.0000, 4.3522, 0.0000], [0.0000, 0.0000, 7.4770]], "species": ["Ac", "Ac", "As", "As", "Au", "Au", "O", "O"], "fractional_positions": [[0.0000, 0.2490, 0.0000], [0.0000, 0.7510, 0.5000], [0.5000, 0.2484, 0.6719], [0.5000, 0.7516, 0.1719], [0.5000, 0.2518, 0.3372], [0.5000, 0.7482, 0.8372], [0.0000, 0.2512, 0.3346], [0.0000, 0.7488, 0.8346]]}

***

Entry ii
{"formula": "AcAsAuO", "functional": "PBE", "state": "relaxed", "cell": [[4.3202, 0.0000, 0.0000], [0.0000, 4.3202, 0.0000], [0.0000, 0.0000, 8.9721]], "species": ["Ac", "Ac", "As", "As", "Au", "Au", "O", "O"], "fractional_positions": [[0.2500, 0.2500, 0.1384], [0.7500, 0.7500, 0.8616], [0.2500, 0.2500, 0.6741], [0.7500, 0.7500, 0.3259], [0.2500, 0.7500, 0.5000], [0.7500, 0.2500, 0.5000], [0.2500, 0.7500, 0.0000], [0.7500, 0.2500, 0.0000]]}

***

Entry iii
{"formula": "AcAsAuO", "functional": "PBE", "state": "relaxed", "cell": [[6.7156, 0.0000, 0.0000], [0.0000, 6.7156, 0.0000], [0.0000, 0.0000, 4.6431]], "species": ["Ac", "Ac", "As", "As", "Au", "Au", "O", "O"], "fractional_positions": [[0.2500, 0.7500, 0.0000], [0.7500, 0.2500, 0.0000], [0.2500, 0.2500, 0.0386], [0.7500, 0.7500, 0.9614], [0.2500, 0.2500, 0.5393], [0.7500, 0.7500, 0.4607], [0.2500, 0.7500, 0.5000], [0.7500, 0.2500, 0.5000]]}

***

Relative to the most stable structure, the computed energies are entry i 0.244; entry ii 0.000; entry iii 0.581, all in eV/atom.

***

Entry i
{"formula": "AcCdAs", "functional": "PBE", "state": "relaxed", "cell": [[0.0000, 3.7147, 3.7147], [3.7147, 0.0000, 3.7147], [3.7147, 3.7147, 0.0000]], "species": ["Ac", "Cd", "As"], "fractional_positions": [[0.0000, 0.0000, 0.0000], [0.2500, 0.2500, 0.2500], [0.7500, 0.7500, 0.7500]]}

***

Entry ii
{"formula": "AcCdAs", "functional": "PBE", "state": "relaxed", "cell": [[0.0000, 3.5937, 3.5937], [3.5937, 0.0000, 3.5937], [3.5937, 3.5937, 0.0000]], "species": ["Ac", "Cd", "As"], "fractional_positions": [[0.0000, 0.0000, 0.0000], [0.2500, 0.2500, 0.2500], [0.5000, 0.5000, 0.5000]]}

***

Relative to the most stable structure, the computed energies are entry i 0.000; entry ii 0.140, all in eV/atom.

***

Entry i
{"formula": "AcNbAsO", "functional": "PBE", "state": "relaxed", "cell": [[3.9229, 0.0000, 0.0000], [0.0000, 6.3359, 0.0000], [0.0000, 0.0000, 7.2900]], "species": ["Ac", "Ac", "Nb", "Nb", "As", "As", "O", "O"], "fractional_positions": [[0.0000, 0.2258, 0.0000], [0.0000, 0.7742, 0.5000], [0.5000, 0.2392, 0.4056], [0.5000, 0.7608, 0.9056], [0.5000, 0.4378, 0.7002], [0.5000, 0.5622, 0.2002], [0.0000, 0.1381, 0.3580], [0.0000, 0.8619, 0.8580]]}

***

Entry ii
{"formula": "AcNbAsO", "functional": "PBE", "state": "relaxed", "cell": [[4.1334, 0.0000, 0.0000], [0.0000, 4.1334, 0.0000], [0.0000, 0.0000, 9.7782]], "species": ["Ac", "Ac", "Nb", "Nb", "As", "As", "O", "O"], "fractional_positions": [[0.2500, 0.2500, 0.1345], [0.7500, 0.7500, 0.8655], [0.2500, 0.7500, 0.5000], [0.7500, 0.2500, 0.5000], [0.2500, 0.2500, 0.6761], [0.7500, 0.7500, 0.3239], [0.2500, 0.7500, 0.0000], [0.7500, 0.2500, 0.0000]]}

***

Entry iii
{"formula": "AcNbAsO", "functional": "PBE", "state": "relaxed", "cell": [[4.6673, 0.0000, 0.0000], [0.0000, 6.6223, 0.0000], [0.0000, 0.0000, 6.2802]], "species": ["Ac", "Ac", "Nb", "Nb", "As", "As", "O", "O"], "fractional_positions": [[0.0000, 0.2344, 0.0000], [0.0000, 0.7656, 0.5000], [0.5000, 0.3916, 0.5786], [0.5000, 0.6084, 0.0786], [0.0000, 0.2470, 0.4969], [0.0000, 0.7530, 0.9969], [0.5000, 0.3440, 0.8971], [0.5000, 0.6560, 0.3971]]}

***

Relative to the most stable structure, the computed energies are entry i 0.518; entry ii 0.000; entry iii 0.513, all in eV/atom.

***

Entry i
{"formula": "AcNiAs", "functional": "PBE", "state": "relaxed", "cell": [[0.0000, 3.5314, 3.5314], [3.5314, 0.0000, 3.5314], [3.5314, 3.5314, 0.0000]], "species": ["Ac", "Ni", "As"], "fractional_positions": [[0.0000, 0.0000, 0.0000], [0.2500, 0.2500, 0.2500], [0.7500, 0.7500, 0.7500]]}

***

Entry ii
{"formula": "AcNiAs", "functional": "PBE", "state": "relaxed", "cell": [[0.0000, 3.2861, 3.2861], [3.2861, 0.0000, 3.2861], [3.2861, 3.2861, 0.0000]], "species": ["Ac", "Ni", "As"], "fractional_positions": [[0.0000, 0.0000, 0.0000], [0.7500, 0.7500, 0.7500], [0.5000, 0.5000, 0.5000]]}

***

Relative to the most stable structure, the computed energies are entry i 0.782; entry ii 0.000, all in eV/atom.

***

Entry i
{"formula": "AcAsPdO", "functional": "PBE", "state": "relaxed", "cell": [[4.5591, -4.5628, 0.0000], [4.5591, 4.5628, 0.0000], [0.0000, 0.0000, 4.6141]], "species": ["Ac", "Ac", "As", "As", "Pd", "Pd", "O", "O"], "fractional_positions": [[0.2500, 0.2500, 0.0000], [0.7500, 0.7500, 0.0000], [0.2500, 0.7500, 0.5052], [0.7500, 0.2500, 0.4948], [0.2500, 0.7500, 0.0054], [0.7500, 0.2500, 0.9946], [0.2500, 0.2500, 0.5000], [0.7500, 0.7500, 0.5000]]}

***

Entry ii
{"formula": "AcAsPdO", "functional": "PBE", "state": "relaxed", "cell": [[6.4276, 0.0000, 0.0000], [0.0000, 6.4276, 0.0000], [0.0000, 0.0000, 4.7152]], "species": ["Ac", "Ac", "As", "As", "Pd", "Pd", "O", "O"], "fractional_positions": [[0.2500, 0.7500, 0.0000], [0.7500, 0.2500, 0.0000], [0.2500, 0.2500, 0.0273], [0.7500, 0.7500, 0.9727], [0.2500, 0.2500, 0.5272], [0.7500, 0.7500, 0.4728], [0.2500, 0.7500, 0.5000], [0.7500, 0.2500, 0.5000]]}

***

Relative to the most stable structure, the computed energies are entry i 0.000; entry ii 0.113, all in eV/atom.